Below is a relaxed structure of Sr2NiSn4Pt3, with properties calculated at the PBE level.

Structure (CIF):
```
data_Sr2NiSn4Pt3
_symmetry_space_group_name_H-M 'P -4 m 2'
_symmetry_Int_Tables_number 115
_cell_length_a 4.639
_cell_length_b 4.639
_cell_length_c 10.842
_cell_angle_alpha 90.00
_cell_angle_beta 90.00
_cell_angle_gamma 90.00
loop_
_symmetry_equiv_pos_as_xyz
'x,y,z'
'y,-x,-z'
'-x,-y,z'
'-y,x,-z'
'-x,y,z'
'-y,-x,-z'
'x,-y,z'
'y,x,-z'
loop_
_atom_site_label
_atom_site_type_symbol
_atom_site_fract_x
_atom_site_fract_y
_atom_site_fract_z
Sr1 Sr 0.000 0.500 0.242
Ni1 Ni 0.500 0.500 0.000
Sn1 Sn 0.000 0.000 0.500
Sn2 Sn 0.000 0.500 0.882
Sn3 Sn 0.500 0.500 0.500
Pt1 Pt 0.000 0.000 0.000
Pt2 Pt 0.000 0.500 0.633
```

Properties
The calculation puts the total magnetization at 0.000 μB per formula unit. The calculation puts the calculated formation energy at -705 meV/atom.

---

Below is a relaxed structure of ThNiSnPt, with properties calculated at the PBE level.

Structure (CIF):
```
data_ThNiSnPt
_symmetry_space_group_name_H-M 'F -4 3 m'
_symmetry_Int_Tables_number 216
_symmetry_space_group_name_Hall 'F -4 2 3'
_cell_length_a 6.889
_cell_length_b 6.889
_cell_length_c 6.889
_cell_angle_alpha 90.00
_cell_angle_beta 90.00
_cell_angle_gamma 90.00
loop_
_atom_site_label
_atom_site_type_symbol
_atom_site_fract_x
_atom_site_fract_y
_atom_site_fract_z
Th1 Th 0.000 0.000 0.000
Ni1 Ni 0.250 0.250 0.750
Sn1 Sn 0.000 0.000 0.500
Pt1 Pt 0.250 0.250 0.250
```

Properties
The calculation puts the total magnetization at 0.000 μB per formula unit. The calculation puts the calculated formation energy at -646 meV/atom.

---

Below is a relaxed structure of TmNiSnPt, with properties calculated at the PBE level.

Structure (CIF):
```
data_TmNiSnPt
_symmetry_space_group_name_H-M 'F -4 3 m'
_symmetry_Int_Tables_number 216
_symmetry_space_group_name_Hall 'F -4 2 3'
_cell_length_a 6.626
_cell_length_b 6.626
_cell_length_c 6.626
_cell_angle_alpha 90.00
_cell_angle_beta 90.00
_cell_angle_gamma 90.00
loop_
_atom_site_label
_atom_site_type_symbol
_atom_site_fract_x
_atom_site_fract_y
_atom_site_fract_z
Tm1 Tm 0.000 0.000 0.000
Ni1 Ni 0.250 0.250 0.250
Sn1 Sn 0.000 0.000 0.500
Pt1 Pt 0.250 0.250 0.750
```

Properties
The calculation puts the total magnetization at 0.000 μB per formula unit. The calculation puts the calculated formation energy at -716 meV/atom.

---

Below is a relaxed structure of VNi7Sn2Pt2, with properties calculated at the PBE level.

Structure (CIF):
```
data_VNi7Sn2Pt2
_symmetry_space_group_name_H-M 'C 1 2/m 1'
_symmetry_Int_Tables_number 12
_cell_length_a 4.926
_cell_length_b 4.926
_cell_length_c 14.112
_cell_angle_alpha 90.00
_cell_angle_beta 100.01
_cell_angle_gamma 90.00
loop_
_symmetry_equiv_pos_as_xyz
'x,y,z'
'-x,-y,-z'
'-x,y,-z'
'x,-y,z'
'x+1/2,y+1/2,z'
'-x+1/2,-y+1/2,-z'
'-x+1/2,y+1/2,-z'
'x+1/2,-y+1/2,z'
loop_
_atom_site_label
_atom_site_type_symbol
_atom_site_fract_x
_atom_site_fract_y
_atom_site_fract_z
V1 V 0.000 0.000 0.000
Ni1 Ni 0.000 0.500 0.000
Ni2 Ni 0.187 0.250 0.873
Ni3 Ni 0.229 0.500 0.459
Sn1 Sn 0.179 0.000 0.360
Pt1 Pt 0.132 0.500 0.267
```

Properties
The calculation puts the total magnetization at 0.010 μB per formula unit. The calculation puts the calculated formation energy at -155 meV/atom.

---

Below is a relaxed structure of Ni7Sn2Pt2W, with properties calculated at the PBE level.

Structure (CIF):
```
data_Ni7Sn2Pt2W
_symmetry_space_group_name_H-M 'C 1 2/m 1'
_symmetry_Int_Tables_number 12
_cell_length_a 5.002
_cell_length_b 5.003
_cell_length_c 14.043
_cell_angle_alpha 90.00
_cell_angle_beta 100.17
_cell_angle_gamma 90.00
loop_
_symmetry_equiv_pos_as_xyz
'x,y,z'
'-x,-y,-z'
'-x,y,-z'
'x,-y,z'
'x+1/2,y+1/2,z'
'-x+1/2,-y+1/2,-z'
'-x+1/2,y+1/2,-z'
'x+1/2,-y+1/2,z'
loop_
_atom_site_label
_atom_site_type_symbol
_atom_site_fract_x
_atom_site_fract_y
_atom_site_fract_z
Ni1 Ni 0.000 0.000 0.000
Ni2 Ni 0.186 0.250 0.870
Ni3 Ni 0.229 0.000 0.461
Sn1 Sn 0.177 0.500 0.358
Pt1 Pt 0.133 0.000 0.269
W1 W 0.000 0.500 0.000
```

Properties
The calculation puts the total magnetization at 0.000 μB per formula unit. The calculation puts the calculated formation energy at -115 meV/atom.

---

Below is a relaxed structure of Zr2Ni7Sn2Pt, with properties calculated at the PBE level.

Structure (CIF):
```
data_Zr2Ni7Sn2Pt
_symmetry_space_group_name_H-M 'C 1 2/m 1'
_symmetry_Int_Tables_number 12
_cell_length_a 4.925
_cell_length_b 4.924
_cell_length_c 15.698
_cell_angle_alpha 90.00
_cell_angle_beta 98.96
_cell_angle_gamma 90.00
loop_
_symmetry_equiv_pos_as_xyz
'x,y,z'
'-x,-y,-z'
'-x,y,-z'
'x,-y,z'
'x+1/2,y+1/2,z'
'-x+1/2,-y+1/2,-z'
'-x+1/2,y+1/2,-z'
'x+1/2,-y+1/2,z'
loop_
_atom_site_label
_atom_site_type_symbol
_atom_site_fract_x
_atom_site_fract_y
_atom_site_fract_z
Zr1 Zr 0.124 0.000 0.251
Ni1 Ni 0.000 0.000 0.000
Ni2 Ni 0.188 0.250 0.874
Ni3 Ni 0.224 0.000 0.452
Sn1 Sn 0.189 0.500 0.382
Pt1 Pt 0.000 0.500 0.000
```

Properties
The calculation puts the total magnetization at 0.387 μB per formula unit. The calculation puts the calculated formation energy at -134 meV/atom.

---

Below is a relaxed structure of Sr2NiPt, with properties calculated at the PBE level.

Structure (CIF):
```
data_Sr2NiPt
_symmetry_space_group_name_H-M 'I -4 2 d'
_symmetry_Int_Tables_number 122
_symmetry_space_group_name_Hall 'I -4 2bw'
_cell_length_a 7.942
_cell_length_b 7.942
_cell_length_c 6.461
_cell_angle_alpha 90.00
_cell_angle_beta 90.00
_cell_angle_gamma 90.00
loop_
_atom_site_label
_atom_site_type_symbol
_atom_site_fract_x
_atom_site_fract_y
_atom_site_fract_z
Sr1 Sr 0.240 0.250 0.125
Ni1 Ni 0.000 0.000 0.000
Pt1 Pt 0.000 0.000 0.500
```

Properties
The calculation puts the total magnetization at 0.000 μB per formula unit. The calculation puts the calculated formation energy at -5 meV/atom.

---

Below is a relaxed structure of Sr2NiPt, with properties calculated at the PBE level.

Structure (CIF):
```
data_Sr2NiPt
_symmetry_space_group_name_H-M 'I -4 m 2'
_symmetry_Int_Tables_number 119
_symmetry_space_group_name_Hall 'I -4 -2'
_cell_length_a 4.316
_cell_length_b 4.316
_cell_length_c 10.485
_cell_angle_alpha 90.00
_cell_angle_beta 90.00
_cell_angle_gamma 90.00
loop_
_atom_site_label
_atom_site_type_symbol
_atom_site_fract_x
_atom_site_fract_y
_atom_site_fract_z
Sr1 Sr 0.000 0.000 0.000
Sr2 Sr 0.000 0.500 0.250
Ni1 Ni 0.000 0.500 0.750
Pt1 Pt 0.000 0.000 0.500
```

Properties
The calculation puts the total magnetization at 0.000 μB per formula unit. The calculation puts the calculated formation energy at -126 meV/atom.

---

Below is a relaxed structure of SrNi2Pt, with properties calculated at the PBE level.

Structure (CIF):
```
data_SrNi2Pt
_symmetry_space_group_name_H-M 'P 4/m m m'
_symmetry_Int_Tables_number 123
_symmetry_space_group_name_Hall '-P 4 2'
_cell_length_a 4.187
_cell_length_b 4.187
_cell_length_c 3.871
_cell_angle_alpha 90.00
_cell_angle_beta 90.00
_cell_angle_gamma 90.00
loop_
_atom_site_label
_atom_site_type_symbol
_atom_site_fract_x
_atom_site_fract_y
_atom_site_fract_z
Sr1 Sr 0.000 0.000 0.000
Ni1 Ni 0.000 0.500 0.500
Pt1 Pt 0.500 0.500 0.000
```

Properties
The calculation puts the total magnetization at 0.993 μB per formula unit. The calculation puts the calculated formation energy at 124 meV/atom.

---

Below is a relaxed structure of SrNi2Pt, with properties calculated at the PBE level.

Structure (CIF):
```
data_SrNi2Pt
_symmetry_space_group_name_H-M 'R -3 m'
_symmetry_Int_Tables_number 166
_symmetry_space_group_name_Hall '-R 3 2"'
_cell_length_a 2.9774
_cell_length_b 2.9774
_cell_length_c 26.6965
_cell_angle_alpha 90.00
_cell_angle_beta 90.00
_cell_angle_gamma 120.00
loop_
_atom_site_label
_atom_site_type_symbol
_atom_site_fract_x
_atom_site_fract_y
_atom_site_fract_z
Sr1 Sr 0.0000 0.0000 0.0000
Ni1 Ni 0.0000 0.0000 0.2405
Pt1 Pt 0.0000 0.0000 0.5000
```

Properties
The calculation puts the total magnetization at 0.777 μB per formula unit. The calculation puts the calculated formation energy at 628 meV/atom.